(A)
11
Lattice="3.608 -0.004 -0.308 -0.051 5.077 -0.636 -0.106 -0.051 20.158" Properties=species:S:1:pos:R:3 comment="Tb4Pr4Y3 | the Alexandria database | PBE | relaxed" crystal_system=monoclinic magmom_total_mub_per_fu=0.00 pbc="T T T"
Pr 1.517 2.258 17.867
Pr 2.842 4.117 12.035
Pr 0.609 0.905 7.179
Pr 1.934 2.764 1.346
Tb 3.144 4.570 15.610
Tb 2.540 3.667 8.492
Tb 0.307 0.452 3.604
Tb 0.911 1.354 10.721
Y 1.217 1.811 14.325
Y 2.234 3.211 4.889
Y 0.000 0.000 0.000

(B)
11
Lattice="3.575 0.000 0.002 0.000 5.731 0.004 1.777 2.851 17.987" Properties=species:S:1:pos:R:3 comment="Tb4Pr4Y3 | the Alexandria database | PBE | relaxed" crystal_system=triclinic magmom_total_mub_per_fu=0.00 pbc="T T T"
Pr 3.568 2.856 14.731
Pr 1.783 2.858 8.333
Pr 3.569 5.724 9.661
Pr 1.785 5.726 3.263
Tb 3.569 2.857 11.488
Tb 3.567 5.720 16.359
Tb 1.783 5.725 6.506
Tb 1.785 2.862 1.634
Y 1.782 5.723 13.110
Y 3.571 2.859 4.883
Y 3.575 5.731 0.007

In terms of stability, (A) leads; the second structure lies 0.036 eV/atom higher.

(A)
19
Lattice="-7.224 4.756 1.205 -2.884 -7.593 3.207 4.530 2.719 6.953" Properties=species:S:1:pos:R:3 comment="Tb12PrY6 | the Alexandria database | PBE | relaxed" crystal_system=trigonal magmom_total_mub_per_fu=0.00 pbc="T T T"
Pr 0.000 0.000 0.000
Tb -1.675 -3.229 6.196
Tb -4.387 -2.166 8.204
Tb 0.003 -1.351 3.712
Tb -3.903 3.111 5.169
Tb -0.886 2.588 6.644
Tb -4.692 -2.706 4.721
Tb -5.806 0.464 4.207
Tb -1.191 2.048 3.161
Tb -3.231 -0.790 2.130
Tb -2.347 0.672 9.235
Tb 0.228 -0.582 7.158
Tb -5.582 1.233 7.653
Y -7.518 -1.615 6.337
Y 1.940 1.497 5.028
Y -4.583 2.627 1.838
Y -3.404 4.108 8.416
Y -2.175 -4.226 2.949
Y -0.995 -2.746 9.527

(B)
19
Lattice="-4.480 1.272 -7.199 -5.746 -5.921 2.335 -4.815 5.956 3.855" Properties=species:S:1:pos:R:3 comment="Tb12PrY6 | the Alexandria database | PBE | relaxed" crystal_system=trigonal magmom_total_mub_per_fu=0.00 pbc="T T T"
Tb -9.002 -0.798 0.767
Tb -6.391 -1.416 -1.103
Tb -12.370 -0.324 0.711
Tb -2.671 1.632 -1.721
Tb -8.651 2.724 0.094
Tb -8.673 0.363 -2.628
Tb -6.039 2.106 -1.777
Tb -6.368 0.945 1.618
Tb -3.039 -1.765 -0.636
Tb -12.071 0.419 -2.783
Tb -12.002 3.073 -0.374
Tb -2.970 0.888 1.774
Y -10.021 1.404 2.983
Y -10.030 -2.568 -2.022
Y -5.620 -2.418 1.930
Y -5.011 3.875 1.012
Y -5.021 -0.096 -3.992
Y -9.421 3.726 -2.939
Pr 0.000 0.000 0.000

In terms of stability, (B) leads; the second structure lies 0.055 eV/atom higher.

(A)
11
Lattice="-5.469 1.869 4.207 -6.227 -3.067 -0.659 -2.608 -7.910 6.197" Properties=species:S:1:pos:R:3 comment="Tb4Pr5Y2 | the Alexandria database | PBE | relaxed" crystal_system=monoclinic magmom_total_mub_per_fu=0.00 pbc="T T T"
Tb -10.656 -7.635 7.761
Tb -3.648 -1.472 1.985
Tb -8.249 -5.767 3.986
Tb -6.055 -3.341 5.760
Pr -6.725 -2.978 2.042
Pr -4.418 -5.488 2.769
Pr -7.579 -6.129 7.704
Pr -9.143 -2.151 3.903
Pr -5.161 -6.956 5.843
Y -8.226 -8.852 5.386
Y -6.078 -0.255 4.360

(B)
11
Lattice="-3.109 -1.718 -0.505 5.406 -7.727 -6.991 2.980 -3.908 7.683" Properties=species:S:1:pos:R:3 comment="Tb4Pr5Y2 | the Alexandria database | PBE | relaxed" crystal_system=monoclinic magmom_total_mub_per_fu=0.00 pbc="T T T"
Pr 0.889 -2.236 2.133
Pr -1.554 -0.859 -0.253
Pr 4.389 -11.116 -1.947
Pr 2.101 -8.287 2.509
Pr 3.176 -5.065 -2.323
Y 0.974 -5.650 0.480
Y 4.304 -7.702 -0.294
Tb 1.515 -2.363 -1.287
Tb 2.131 -5.009 3.917
Tb 3.763 -10.989 1.472
Tb 3.147 -8.343 -3.731

In terms of stability, (B) leads; the second structure lies 0.090 eV/atom higher.

(A)
8
Lattice="-3.613 0.050 3.557 3.125 -2.379 3.207 3.394 8.938 3.322" Properties=species:S:1:pos:R:3 comment="Tb6PrY | the Alexandria database | PBE | relaxed" crystal_system=tetragonal magmom_total_mub_per_fu=0.00 pbc="T T T"
Tb 4.102 5.497 4.089
Tb 2.417 1.061 2.440
Tb -0.244 -1.165 3.382
Tb -0.952 2.276 2.615
Tb 0.733 6.712 4.264
Tb 1.453 3.304 5.043
Y 1.697 4.469 1.661
Pr 0.000 0.000 0.000

(B)
8
Lattice="5.058 0.000 0.000 0.000 7.125 -0.801 0.000 0.803 7.125" Properties=species:S:1:pos:R:3 comment="Tb6PrY | the Alexandria database | PBE | relaxed" crystal_system=tetragonal magmom_total_mub_per_fu=0.00 pbc="T T T"
Tb 0.000 2.392 5.133
Tb 0.000 1.993 1.589
Tb 2.529 3.562 -0.401
Tb 2.529 0.402 3.562
Tb 0.000 5.536 1.190
Tb 0.000 5.936 4.734
Y 2.529 3.964 3.162
Pr 2.529 0.000 0.000

In terms of stability, (B) leads; the second structure lies 0.007 eV/atom higher.

(A)
11
Lattice="-5.768 -0.908 1.978 -1.138 -4.229 4.348 -0.383 7.728 8.882" Properties=species:S:1:pos:R:3 comment="Tb3Pr2Y6 | the Alexandria database | PBE | relaxed" crystal_system=monoclinic magmom_total_mub_per_fu=0.00 pbc="T T T"
Y -3.445 2.619 10.409
Y -6.144 -1.743 6.910
Y -1.144 4.334 8.298
Y -3.843 -0.029 4.799
Y -1.544 1.682 2.692
Y -4.607 5.137 8.168
Tb -4.597 -3.440 4.231
Tb -2.309 -1.697 2.095
Tb 0.000 0.000 0.000
Pr -5.377 1.696 7.539
Pr -1.912 0.894 7.669

(B)
11
Lattice="-0.532 4.720 -0.280 -4.723 -0.517 0.250 3.399 -1.017 16.823" Properties=species:S:1:pos:R:3 comment="Tb3Pr2Y6 | the Alexandria database | PBE | relaxed" crystal_system=tetragonal magmom_total_mub_per_fu=0.00 pbc="T T T"
Y 0.465 0.654 10.130
Y -2.173 0.007 4.235
Y 0.317 3.179 12.557
Y -2.321 2.532 6.662
Y -1.778 0.561 12.823
Y -0.077 2.625 3.970
Tb 0.000 0.000 0.000
Tb -2.163 2.753 10.087
Tb 0.308 0.433 6.706
Pr 0.701 0.986 15.272
Pr -2.557 2.200 1.521

In terms of stability, (A) leads; the second structure lies 0.093 eV/atom higher.

(A)
19
Lattice="-2.220 -9.972 -2.948 5.997 2.293 6.902 -5.807 -0.387 5.680" Properties=species:S:1:pos:R:3 comment="Tb5Pr12Y2 | the Alexandria database | PBE | relaxed" crystal_system=monoclinic magmom_total_mub_per_fu=0.00 pbc="T T T"
Pr -1.092 -8.807 0.924
Pr 1.788 -6.981 3.090
Pr -4.126 -8.053 2.494
Pr 0.125 -3.340 2.541
Pr 2.096 -0.013 7.140
Pr -3.818 -1.085 6.544
Pr -2.154 -4.726 7.093
Pr -0.937 0.742 8.710
Pr 0.233 -2.681 8.891
Pr -3.121 -3.541 3.828
Pr 1.092 -4.525 5.806
Pr -2.263 -5.385 0.743
Y -0.582 -2.612 -0.772
Y -1.639 -7.360 -2.176
Tb -0.609 -1.506 5.551
Tb -4.878 -6.168 5.361
Tb -1.420 -6.560 4.083
Tb -2.903 -0.193 2.840
Tb 2.849 -1.898 4.273

(B)
19
Lattice="-6.513 3.004 -2.606 2.042 -9.186 -4.520 -5.130 -7.867 3.753" Properties=species:S:1:pos:R:3 comment="Tb5Pr12Y2 | the Alexandria database | PBE | relaxed" crystal_system=monoclinic magmom_total_mub_per_fu=0.00 pbc="T T T"
Pr -5.065 -8.260 -2.733
Pr -6.814 -11.143 -1.432
Pr -7.958 -4.210 -2.009
Pr -4.535 -5.789 -0.639
Pr -2.786 -2.906 -1.940
Pr -6.061 -1.395 -3.250
Pr -2.901 -10.169 -4.470
Pr -4.063 -6.273 2.924
Pr -5.537 -7.776 -6.296
Pr -1.642 -9.838 -1.364
Pr -6.699 -3.880 1.097
Pr -3.539 -12.653 -0.122
Tb -2.565 -3.933 1.876
Tb -4.925 -4.835 -4.435
Tb -7.825 -7.603 -0.381
Tb -4.675 -9.214 1.063
Tb -1.776 -6.445 -2.992
Y -1.952 0.900 -0.781
Y -4.560 2.103 -1.825

In terms of stability, (A) leads; the second structure lies 0.041 eV/atom higher.